First-principles (PBE) data for a geometry-optimized La3ThHg4 structure, as listed in the Alexandria database.

Output
Formation enthalpy at 0 K   -0.42 eV/atom

Unit cell a=3.882 b=3.882 c=15.582 alpha=90.00 beta=90.00 gamma=90.00
Each line ends with the local moment (μB).
Fractional positions:
Hg1 0.000 0.000 0.880  -0.01
Hg2 0.000 0.000 0.120  -0.01
Hg3 0.000 0.000 0.374  -0.01
Hg4 0.000 0.000 0.626  -0.01
Th1 0.500 0.500 0.000  -0.09
La1 0.500 0.500 0.246  -0.14
La2 0.500 0.500 0.500  -0.13
La3 0.500 0.500 0.754  -0.14

First-principles (PBE) data for a geometry-optimized Hf2MnReSb structure, as listed in the Alexandria database.

Output
Energy   -7.55 eV per atom

Unit cell a=5.195 b=4.822 c=5.195 alpha=90.00 beta=90.00 gamma=90.00
Each line ends with the local moment (μB).
Fractional positions:
Re1 0.000 0.500 0.000  -0.19
Mn1 0.500 0.500 0.500  4.18
Hf1 0.000 0.000 0.500  -0.22
Hf2 0.500 0.000 0.000  -0.22
Sb1 0.000 0.000 0.000  -0.01